## PaC (PBE)

Data for PaC after structural relaxation.

```
PaC
1.0
3.418 0.000 0.000
0.000 3.684 0.000
-1.709 0.000 5.058
C Pa
2 2
Cartesian
1.709 0.921 1.422
0.000 2.763 3.636
0.000 2.763 1.290
1.709 0.921 3.768
```

Calculated values
As for the distance to the lowest polymorph of the same formula: 0.293 eV per atom. The value obtained for the formation enthalpy at 0 K is -0.152 eV/atom. Its crystal system is orthorhombic. For the density of states at the Fermi level, the calculation gives 4.0 states/eV/cell.